# 1
{"formula": "Dy3Cu4Pd2", "functional": "PBE", "state": "optimized geometry", "total_energy_ev_per_atom": -4.98, "spacegroup": "C2/m", "formation_energy_ev_per_atom": -0.48, "crystal_system": "monoclinic", "total_magnetization_mub_per_fu": 0.00, "lattice": [[4.3027, 0.0000, 0.0000], [-2.1514, 4.8937, -1.6589], [0.0000, -0.5076, 8.3062]], "species": ["Pd", "Pd", "Cu", "Cu", "Cu", "Cu", "Dy", "Dy", "Dy"], "fractional_positions": [[0.3900, 0.7800, 0.7286], [0.6100, 0.2200, 0.2714], [0.9517, 0.9035, 0.6101], [0.7250, 0.4500, 0.0485], [0.2750, 0.5500, 0.9515], [0.0483, 0.0965, 0.3899], [0.0000, 0.0000, 0.0000], [0.3305, 0.6609, 0.3379], [0.6695, 0.3391, 0.6621]]}

---

# 2
{"formula": "SmHo2Sn2Hg2", "functional": "PBE", "state": "optimized geometry", "total_energy_ev_per_atom": -3.54, "spacegroup": "R-3m", "formation_energy_ev_per_atom": -0.33, "crystal_system": "trigonal", "total_magnetization_mub_per_fu": 0.00, "lattice": [[-3.6472, 2.5827, -2.2231], [-4.7723, -0.9858, 1.0806], [-2.5604, 6.5065, 6.1560]], "species": ["Sn", "Sn", "Hg", "Hg", "Ho", "Ho", "Sm"], "fractional_positions": [[0.2690, 0.2690, 0.1931], [0.7310, 0.7310, 0.8069], [0.4339, 0.4339, 0.6982], [0.5661, 0.5661, 0.3018], [0.1314, 0.1314, 0.6058], [0.8686, 0.8686, 0.3942], [0.0000, 0.0000, 0.0000]]}

---

# 3
{"formula": "AlFe2Ge", "functional": "PBE", "state": "optimized geometry", "total_energy_ev_per_atom": -6.53, "spacegroup": "Fm-3m", "formation_energy_ev_per_atom": -0.21, "crystal_system": "cubic", "total_magnetization_mub_per_fu": 0.36, "lattice": [[-3.1261, 2.1909, 1.3373], [-2.8808, 1.1955, -2.5755], [-3.6902, -1.6458, 0.1873]], "species": ["Al", "Fe", "Fe", "Ge"], "fractional_positions": [[0.2500, 0.2500, 0.2500], [0.5000, 0.5000, 0.5000], [0.0000, 0.0000, 0.0000], [0.7500, 0.7500, 0.7500]]}

---

# 4
{"formula": "Os2Br", "functional": "PBE", "state": "optimized geometry", "total_energy_ev_per_atom": -7.41, "spacegroup": "C2/m", "crystal_system": "monoclinic", "total_magnetization_mub_per_fu": 0.00, "lattice": [[1.4260, 4.9091, -0.0421], [-1.4260, 4.9091, -0.0421], [0.0000, 3.9979, 9.4361]], "species": ["Os", "Os", "Os", "Os", "Br", "Br"], "fractional_positions": [[0.8944, 0.8944, 0.1167], [0.6356, 0.6356, 0.0852], [0.3644, 0.3644, 0.9148], [0.1056, 0.1056, 0.8833], [0.0678, 0.0678, 0.6539], [0.9322, 0.9322, 0.3461]]}

---

# 5
{"formula": "CeHoNpO6", "functional": "PBE", "state": "optimized geometry", "total_energy_ev_per_atom": -9.12, "spacegroup": "P-31c", "crystal_system": "trigonal", "total_magnetization_mub_per_fu": 2.00, "lattice": [[5.7622, 0.0000, 0.0000], [-2.8811, 4.9902, 0.0000], [0.0000, 0.0000, 9.6092]], "species": ["O", "O", "O", "O", "O", "O", "O", "O", "O", "O", "O", "O", "Ho", "Ho", "Np", "Np", "Ce", "Ce"], "fractional_positions": [[0.0207, 0.3558, 0.8655], [0.9793, 0.6442, 0.1345], [0.3351, 0.3558, 0.6345], [0.6442, 0.6649, 0.8655], [0.3351, 0.9793, 0.8655], [0.9793, 0.3351, 0.3655], [0.6442, 0.9793, 0.6345], [0.3558, 0.3351, 0.1345], [0.3558, 0.0207, 0.3655], [0.6649, 0.0207, 0.1345], [0.6649, 0.6442, 0.3655], [0.0207, 0.6649, 0.6345], [0.6667, 0.3333, 0.7500], [0.3333, 0.6667, 0.2500], [0.3333, 0.6667, 0.7500], [0.6667, 0.3333, 0.2500], [0.0000, 0.0000, 0.5000], [0.0000, 0.0000, 0.0000]]}

---

# 6
{"formula": "SrReIr", "functional": "PBE", "state": "optimized geometry", "total_energy_ev_per_atom": -7.58, "spacegroup": "C2/m", "formation_energy_ev_per_atom": 0.09, "crystal_system": "monoclinic", "total_magnetization_mub_per_fu": 0.00, "lattice": [[-2.1998, -3.9627, 4.2481], [4.4108, -4.1188, 4.4395], [5.3356, 1.9334, 3.3963]], "species": ["Ir", "Ir", "Sr", "Sr", "Re", "Re"], "fractional_positions": [[0.4057, 0.6135, 0.2058], [0.1654, 0.7170, 0.4450], [0.7049, 0.8746, 0.9059], [0.8662, 0.4559, 0.7449], [0.5299, 0.3127, 0.0811], [0.0412, 0.0178, 0.5697]]}